Record 1
# MgNi2Os | Alexandria via LeMat-Bulk | meta-GGA SCAN | single point on PBEsol structure
data_MgNi2Os
_chemical_formula_sum 'Mg1 Ni2 Os1'
_symmetry_space_group_name_H-M 'P 1'
_symmetry_Int_Tables_number 1
_symmetry_space_group_name_Hall 'P 1'
_cell_length_a 2.6451
_cell_length_b 2.6451
_cell_length_c 7.2898
_cell_angle_alpha 90.00
_cell_angle_beta 90.00
_cell_angle_gamma 90.00
loop_
_atom_site_label
_atom_site_type_symbol
_atom_site_fract_x
_atom_site_fract_y
_atom_site_fract_z
Mg1 Mg 0.5000 0.5000 0.5000
Ni1 Ni 0.0000 0.0000 0.7636
Ni2 Ni 0.0000 0.0000 0.2364
Os1 Os 0.5000 0.5000 0.0000
# Volume = 12.8 Å³/atom
# Energy = -27.245 eV/atom

Record 2
# Li2LaAlMo | Alexandria via LeMat-Bulk | meta-GGA SCAN | single point on PBEsol structure
data_Li2LaAlMo
_chemical_formula_sum 'Li2 La1 Al1 Mo1'
_symmetry_space_group_name_H-M 'P 1'
_symmetry_Int_Tables_number 1
_symmetry_space_group_name_Hall 'P 1'
_cell_length_a 4.6240
_cell_length_b 4.6240
_cell_length_c 5.8267
_cell_angle_alpha 90.00
_cell_angle_beta 90.00
_cell_angle_gamma 90.00
loop_
_atom_site_label
_atom_site_type_symbol
_atom_site_fract_x
_atom_site_fract_y
_atom_site_fract_z
Mo1 Mo 0.5000 0.5000 0.5000
Li1 Li 0.0000 0.5000 0.0000
Li2 Li 0.5000 0.0000 0.0000
Al1 Al 0.0000 0.0000 0.0000
La1 La 0.0000 0.0000 0.5000
# Volume = 24.9 Å³/atom
# Energy = -17.122 eV/atom

Record 3
# AlHgAsSe2 | Alexandria via LeMat-Bulk | meta-GGA SCAN | single point on PBEsol structure
data_AlHgAsSe2
_chemical_formula_sum 'Al1 Hg1 As1 Se2'
_symmetry_space_group_name_H-M 'P 1'
_symmetry_Int_Tables_number 1
_symmetry_space_group_name_Hall 'P 1'
_cell_length_a 4.8125
_cell_length_b 4.8125
_cell_length_c 4.9629
_cell_angle_alpha 90.00
_cell_angle_beta 90.00
_cell_angle_gamma 90.00
loop_
_atom_site_label
_atom_site_type_symbol
_atom_site_fract_x
_atom_site_fract_y
_atom_site_fract_z
As1 As 0.0000 0.0000 0.5000
Hg1 Hg 0.5000 0.5000 0.5000
Se1 Se 0.0000 0.5000 0.0000
Se2 Se 0.5000 0.0000 0.0000
Al1 Al 0.0000 0.0000 0.0000
# Volume = 23.0 Å³/atom
# Energy = -26.977 eV/atom
# Energy above the most stable polymorph in this dataset = 0.0 kJ per mole of atoms

Record 4
# InMoRu2 | Alexandria via LeMat-Bulk | meta-GGA SCAN | single point on PBEsol structure
data_InMoRu2
_chemical_formula_sum 'In1 Mo1 Ru2'
_symmetry_space_group_name_H-M 'P 1'
_symmetry_Int_Tables_number 1
_symmetry_space_group_name_Hall 'P 1'
_cell_length_a 2.7890
_cell_length_b 2.7890
_cell_length_c 7.8900
_cell_angle_alpha 90.00
_cell_angle_beta 90.00
_cell_angle_gamma 90.00
loop_
_atom_site_label
_atom_site_type_symbol
_atom_site_fract_x
_atom_site_fract_y
_atom_site_fract_z
In1 In 0.0000 0.0000 0.4890
Mo1 Mo 0.5000 0.5000 0.7710
Ru1 Ru 0.0000 0.0000 0.0116
Ru2 Ru 0.5000 0.5000 0.2283
# Volume = 15.3 Å³/atom
# Energy = -34.246 eV/atom

Record 5
# Li2MgRe | Alexandria via LeMat-Bulk | meta-GGA SCAN | single point on PBEsol structure
data_Li2MgRe
_chemical_formula_sum 'Li2 Mg1 Re1'
_symmetry_space_group_name_H-M 'P 1'
_symmetry_Int_Tables_number 1
_symmetry_space_group_name_Hall 'P 1'
_cell_length_a 2.7312
_cell_length_b 2.7312
_cell_length_c 9.9492
_cell_angle_alpha 82.11
_cell_angle_beta 82.11
_cell_angle_gamma 60.00
loop_
_atom_site_label
_atom_site_type_symbol
_atom_site_fract_x
_atom_site_fract_y
_atom_site_fract_z
Li1 Li 0.2564 0.2564 0.2307
Li2 Li 0.7436 0.7436 0.7693
Mg1 Mg 0.5000 0.5000 0.5000
Re1 Re 0.0000 0.0000 0.0000
# Volume = 15.9 Å³/atom
# Energy = -19.994 eV/atom
# Energy above the most stable polymorph in this dataset = 0.0 kJ per mole of atoms

Record 6
# InPSe2Br | Alexandria via LeMat-Bulk | meta-GGA SCAN | single point on PBEsol structure
data_InPSe2Br
_chemical_formula_sum 'In1 P1 Se2 Br1'
_symmetry_space_group_name_H-M 'P 1'
_symmetry_Int_Tables_number 1
_symmetry_space_group_name_Hall 'P 1'
_cell_length_a 4.8405
_cell_length_b 4.8405
_cell_length_c 5.1436
_cell_angle_alpha 90.00
_cell_angle_beta 90.00
_cell_angle_gamma 90.00
loop_
_atom_site_label
_atom_site_type_symbol
_atom_site_fract_x
_atom_site_fract_y
_atom_site_fract_z
P1 P 0.0000 0.0000 0.0000
Se1 Se 0.0000 0.5000 0.0000
Se2 Se 0.5000 0.0000 0.0000
Br1 Br 0.0000 0.0000 0.5000
In1 In 0.5000 0.5000 0.5000
# Volume = 24.1 Å³/atom
# Energy = -20.595 eV/atom

Record 7
# TaSbMo2 | Alexandria via LeMat-Bulk | meta-GGA SCAN | single point on PBEsol structure
data_TaSbMo2
_chemical_formula_sum 'Ta1 Sb1 Mo2'
_symmetry_space_group_name_H-M 'P 1'
_symmetry_Int_Tables_number 1
_symmetry_space_group_name_Hall 'P 1'
_cell_length_a 3.1391
_cell_length_b 3.1391
_cell_length_c 8.5025
_cell_angle_alpha 79.36
_cell_angle_beta 79.36
_cell_angle_gamma 60.00
loop_
_atom_site_label
_atom_site_type_symbol
_atom_site_fract_x
_atom_site_fract_y
_atom_site_fract_z
Mo1 Mo 0.2532 0.2532 0.2405
Mo2 Mo 0.7468 0.7468 0.7595
Sb1 Sb 0.5000 0.5000 0.5000
Ta1 Ta 0.0000 0.0000 0.0000
# Volume = 17.7 Å³/atom
# Energy = -43.053 eV/atom

Record 8
# W2N3 | Alexandria via LeMat-Bulk | meta-GGA SCAN | single point on PBEsol structure
data_W2N3
_chemical_formula_sum 'W4 N6'
_symmetry_space_group_name_H-M 'P 1'
_symmetry_Int_Tables_number 1
_symmetry_space_group_name_Hall 'P 1'
_cell_length_a 4.9603
_cell_length_b 4.9603
_cell_length_c 5.3230
_cell_angle_alpha 99.11
_cell_angle_beta 99.11
_cell_angle_gamma 119.66
loop_
_atom_site_label
_atom_site_type_symbol
_atom_site_fract_x
_atom_site_fract_y
_atom_site_fract_z
W1 W 0.9941 0.3307 0.9916
W2 W 0.6771 0.6771 0.0160
W3 W 0.3307 0.9941 0.9916
W4 W 0.4917 0.4917 0.4772
N1 N 0.0914 0.0914 0.2505
N2 N 0.7480 0.4120 0.2532
N3 N 0.4120 0.7480 0.2532
N4 N 0.5802 0.2635 0.7491
N5 N 0.9040 0.9040 0.7465
N6 N 0.2635 0.5802 0.7491
# Volume = 10.8 Å³/atom
# Energy = -33.952 eV/atom

Record 9
# Co2NiSe4 | Alexandria via LeMat-Bulk | meta-GGA SCAN | single point on PBEsol structure
data_Co2NiSe4
_chemical_formula_sum 'Co2 Ni1 Se4'
_symmetry_space_group_name_H-M 'P 1'
_symmetry_Int_Tables_number 1
_symmetry_space_group_name_Hall 'P 1'
_cell_length_a 3.5492
_cell_length_b 6.0566
_cell_length_c 6.1171
_cell_angle_alpha 118.31
_cell_angle_beta 106.86
_cell_angle_gamma 90.00
loop_
_atom_site_label
_atom_site_type_symbol
_atom_site_fract_x
_atom_site_fract_y
_atom_site_fract_z
Ni1 Ni 0.0000 0.0000 0.0000
Co1 Co 0.7391 0.7210 0.4782
Co2 Co 0.2609 0.2790 0.5218
Se1 Se 0.8770 0.5400 0.7540
Se2 Se 0.1230 0.4600 0.2460
Se3 Se 0.6372 0.9773 0.2743
Se4 Se 0.3628 0.0227 0.7257
# Volume = 15.6 Å³/atom
# Energy = -19.036 eV/atom

Record 10
# ScIr3 | Alexandria via LeMat-Bulk | meta-GGA SCAN | single point on PBEsol structure
data_ScIr3
_chemical_formula_sum 'Sc1 Ir3'
_symmetry_space_group_name_H-M 'P 1'
_symmetry_Int_Tables_number 1
_symmetry_space_group_name_Hall 'P 1'
_cell_length_a 4.4228
_cell_length_b 4.4228
_cell_length_c 4.4228
_cell_angle_alpha 60.00
_cell_angle_beta 60.00
_cell_angle_gamma 60.00
loop_
_atom_site_label
_atom_site_type_symbol
_atom_site_fract_x
_atom_site_fract_y
_atom_site_fract_z
Ir1 Ir 0.2500 0.2500 0.2500
Ir2 Ir 0.7500 0.7500 0.7500
Ir3 Ir 0.5000 0.5000 0.5000
Sc1 Sc 0.0000 0.0000 0.0000
# Volume = 15.3 Å³/atom
# Energy = -57.020 eV/atom

Record 11
# Be2CoAg | Alexandria via LeMat-Bulk | meta-GGA SCAN | single point on PBEsol structure
data_Be2CoAg
_chemical_formula_sum 'Be2 Co1 Ag1'
_symmetry_space_group_name_H-M 'P 1'
_symmetry_Int_Tables_number 1
_symmetry_space_group_name_Hall 'P 1'
_cell_length_a 2.6326
_cell_length_b 3.9840
_cell_length_c 4.4073
_cell_angle_alpha 106.92
_cell_angle_beta 107.38
_cell_angle_gamma 90.00
loop_
_atom_site_label
_atom_site_type_symbol
_atom_site_fract_x
_atom_site_fract_y
_atom_site_fract_z
Be1 Be 0.0112 0.9743 0.0225
Be2 Be 0.7454 0.2936 0.4909
Co1 Co 0.4842 0.4342 0.9684
Ag1 Ag 0.2591 0.7979 0.5182
# Volume = 10.5 Å³/atom
# Energy = -14.245 eV/atom

Record 12
# Y2TaW | Alexandria via LeMat-Bulk | meta-GGA SCAN | single point on PBEsol structure
data_Y2TaW
_chemical_formula_sum 'Y2 Ta1 W1'
_symmetry_space_group_name_H-M 'P 1'
_symmetry_Int_Tables_number 1
_symmetry_space_group_name_Hall 'P 1'
_cell_length_a 3.0509
_cell_length_b 3.0509
_cell_length_c 10.1911
_cell_angle_alpha 90.00
_cell_angle_beta 90.00
_cell_angle_gamma 112.06
loop_
_atom_site_label
_atom_site_type_symbol
_atom_site_fract_x
_atom_site_fract_y
_atom_site_fract_z
Ta1 Ta 0.0000 0.0000 0.4662
W1 W 0.5000 0.5000 0.2739
Y1 Y 0.0000 0.0000 0.0403
Y2 Y 0.5000 0.5000 0.7196
# Volume = 22.0 Å³/atom
# Energy = -47.551 eV/atom
# Energy above the most stable polymorph in this dataset = 9.5 kJ per mole of atoms

Record 13
# SiNCl2 | Alexandria via LeMat-Bulk | meta-GGA SCAN | single point on PBEsol structure
data_SiNCl2
_chemical_formula_sum 'Si1 N1 Cl2'
_symmetry_space_group_name_H-M 'P 1'
_symmetry_Int_Tables_number 1
_symmetry_space_group_name_Hall 'P 1'
_cell_length_a 3.1764
_cell_length_b 3.1764
_cell_length_c 9.2960
_cell_angle_alpha 80.16
_cell_angle_beta 80.16
_cell_angle_gamma 60.00
loop_
_atom_site_label
_atom_site_type_symbol
_atom_site_fract_x
_atom_site_fract_y
_atom_site_fract_z
Si1 Si 0.0000 0.0000 0.0000
N1 N 0.5000 0.5000 0.5000
Cl1 Cl 0.9246 0.9246 0.2261
Cl2 Cl 0.0754 0.0754 0.7739
# Volume = 19.9 Å³/atom
# Energy = -7.810 eV/atom